Material: TaTc2Ru
Method: DFT, PBE
State: optimized geometry

## Properties
M_tot   0.0 μB/cell
ΔE to the lowest computed polymorph   0.047 eV per atom
Symmetry   No. 8
ΔH_f (0 K)   -7 meV per atom

Lattice parameters (Å, degrees): 4.809 4.809 4.802 80.48 80.48 34.19
Atoms (fractional coordinates):
Ta: 0.246 0.246 0.261
Tc: 0.752 0.752 0.759
Tc: 0.009 0.009 0.975
Ru: 0.493 0.493 0.505